[1]
## ZnP (GGA-PBE)

Data for an optimized crystal structure of ZnP.

Results
The value obtained for the total energy is -5.81 eV/cell. The value obtained for the energy of formation from the pure elements is 0.44 eV/atom. As for the symmetry: Pm-3m (221).

abc: 3.150 3.150 3.150
angles: 90.00 90.00 90.00
Fractional coordinates of all 2 atoms:
Zn 0.500 0.500 0.500
P 0.000 0.000 0.000

[2]
## SrTcSb2 (GGA-PBE)

Data for an optimized crystal structure of SrTcSb2.

Results
The value obtained for the total energy is -21.31 eV/cell. For the energy above the lowest structure with this stoichiometry, the calculation gives 0.00 eV per formula unit. For the uncorrected formation energy, the calculation gives -1.0 eV per formula unit. As for the symmetry: R-3m (166).

abc: 6.285 6.285 6.285
angles: 42.50 42.50 42.50
Fractional coordinates of all 4 atoms:
Sr 0.250 0.250 0.250
Tc 0.750 0.750 0.750
Sb 0.469 0.469 0.469
Sb 0.031 0.031 0.031

[3]
## Be3InCl (GGA-PBE)

Data for an optimized crystal structure of Be3InCl.

Results
The value obtained for the total energy is -10.35 eV/cell. For the energy above the lowest structure with this stoichiometry, the calculation gives 1.23 eV per formula unit. For the uncorrected formation energy, the calculation gives 5.4 eV per formula unit. As for the symmetry: Pm-3m (221).

abc: 4.303 4.303 4.303
angles: 90.00 90.00 90.00
Fractional coordinates of all 5 atoms:
Cl 0.000 0.000 0.000
Be 0.000 0.500 0.000
Be 0.000 0.000 0.500
In 0.500 0.500 0.500
Be 0.500 0.000 0.000

Computed values of mass density (unit: g cm⁻³) for the preceding records, in sequence: 5.12, 6.95, 3.70.